# GaCoAs2O8 PBE+U optimized geometry
# Total magnetization   0.337 μB per atom
# Electronic total energy   -69.689 eV/f.u.
data_GaCoAs2O8
_chemical_formula_sum 'Ga2 Co2 As4 O16'
_space_group_name_H-M_alt 'I -4 m 2'
_space_group_IT_number 119
_space_group_name_Hall 'I -4 -2'
_cell_length_a 6.5551
_cell_length_b 6.5551
_cell_length_c 6.1741
_cell_angle_alpha 90.00
_cell_angle_beta 90.00
_cell_angle_gamma 90.00
loop_
_atom_site_label
_atom_site_type_symbol
_atom_site_fract_x
_atom_site_fract_y
_atom_site_fract_z
Ga1 Ga 0.0000 0.0000 0.0000
Co1 Co 0.0000 0.5000 0.2500
As1 As 0.0000 0.0000 0.5000
As2 As 0.0000 0.5000 0.7500
O1 O 0.0000 0.1901 0.3081
O2 O 0.0000 0.3097 0.9429